Below is a geometry-optimized Ce2InTe structure, with properties calculated at the GGA-PBE level.

Lattice parameters (Å, degrees): 4.133 4.133 9.098 76.87 76.87 60.00
Last column: magnetic moment on the atom in μB.
Sites, in units of the cell vectors:
1 Ce 0.256 0.256 0.233  0.98
2 Ce 0.078 0.078 0.766  0.93
3 Te 0.667 0.667 0.999  -0.02
4 In 0.499 0.499 0.502  0.01

Results
ΔE_f (raw) ... -0.636 eV/atom
Fermi-level density of states ... 14.9 states/eV/cell
Energy above the lowest structure with this stoichiometry ... 98 meV/atom